[1]
Entry from the Alexandria database: a relaxed CsTlHgCl6 crystal (PBE-GGA).

The uncorrected formation energy comes out at -8.70 eV per formula unit. Its density of states at the Fermi level is 0.0 states/eV per cell. The theoretical density comes out at 3.8 Mg/m³. For the magnetic moment, the calculation gives 0.000 μB per atom.

The space group is P312 (No. 149) and the conventional cell measures 6.9976, 6.9976 and 7.7388 Å, with angles of 90.00, 90.00 and 120.00 degrees. Symmetry generates all atoms from Cs at (0.0000, 0.0000, 0.0000), Tl at (0.6667, 0.3333, 0.5000), Hg at (0.3333, 0.6667, 0.5000) and Cl at (0.3819, 0.0081, 0.6994).

---

[2]
Entry from the Alexandria database: a relaxed Cs2LiZnI6 crystal (PBE-GGA).

The uncorrected formation energy comes out at -9.29 eV per formula unit. Its density of states at the Fermi level is 26.7 states/eV per cell. The theoretical density comes out at 4.5 Mg/m³. For the magnetic moment, the calculation gives 0.000 μB per atom.

The space group is I4/mmm (No. 139) and the conventional cell measures 8.287, 8.287 and 11.756 Å, with angles of 90.00, 90.00 and 90.00 degrees. Symmetry generates all atoms from Cs at (0.000, 0.500, 0.250), Li at (0.000, 0.000, 0.000), Zn at (0.000, 0.000, 0.500), I at (0.000, 0.000, 0.257) and I at (0.245, 0.245, 0.500).

---

[3]
Entry from the Alexandria database: a relaxed YSn3Ir crystal (PBE-GGA).

Its density of states at the Fermi level is 7.4 states/eV per cell. The theoretical density comes out at 6.0 Mg/m³. The value obtained for the energy of formation from the pure elements is 1455 meV/atom. For the magnetic moment, the calculation gives 0.287 μB per atom.

The space group is Pm-3m (No. 221) and the conventional cell measures 5.605, 5.605 and 5.605 Å, with angles of 90.00, 90.00 and 90.00 degrees. Symmetry generates all atoms from Y at (0.000, 0.000, 0.000), Sn at (0.000, 0.000, 0.500) and Ir at (0.500, 0.500, 0.500).

---

[4]
Entry from the Alexandria database: a relaxed Ce2NbRu crystal (PBE-GGA).

Its density of states at the Fermi level is 22.6 states/eV per cell. The theoretical density comes out at 9.6 Mg/m³. The value obtained for the energy of formation from the pure elements is 315 meV/atom. For the magnetic moment, the calculation gives 0.001 μB per atom.

The space group is R-3m (No. 166, hexagonal axes) and the conventional cell measures 3.0235, 3.0235 and 31.2123 Å, with angles of 90.00, 90.00 and 120.00 degrees. Symmetry generates all atoms from Ce at (0.0000, 0.0000, 0.0922), Nb at (0.0000, 0.0000, 0.0000) and Ru at (0.0000, 0.0000, 0.5000).

---

[5]
Entry from the Alexandria database: a relaxed LiFeIr crystal (PBE-GGA).

Its density of states at the Fermi level is 13.4 states/eV per cell. The polymorph energy (0 for the lowest one) comes out at 72 meV/atom. The theoretical density comes out at 11.2 Mg/m³. The value obtained for the energy of formation from the pure elements is 33 meV/atom. For the magnetic moment, the calculation gives 0.500 μB per atom.

The space group is Cm (No. 8) and the conventional cell measures 7.257, 4.182 and 4.965 Å, with angles of 90.00, 90.03 and 90.00 degrees. Symmetry generates all atoms from Li at (0.000, 0.000, 0.000), Li at (0.167, 0.500, 0.974), Fe at (0.333, 0.000, 0.232), Fe at (0.499, 0.500, 0.499), Ir at (0.166, 0.500, 0.473) and Ir at (0.333, 0.000, 0.734).

---

[6]
Entry from the Alexandria database: a relaxed LaMn3Tl crystal (PBE-GGA).

Its density of states at the Fermi level is 9.8 states/eV per cell. The polymorph energy (0 for the lowest one) comes out at 0 meV/atom. The theoretical density comes out at 6.4 Mg/m³. The value obtained for the energy of formation from the pure elements is 899 meV/atom. For the magnetic moment, the calculation gives 2.258 μB per atom.

The space group is Pm-3m (No. 221) and the conventional cell measures 5.101, 5.101 and 5.101 Å, with angles of 90.00, 90.00 and 90.00 degrees. Symmetry generates all atoms from La at (0.000, 0.000, 0.000), Mn at (0.000, 0.500, 0.500) and Tl at (0.500, 0.500, 0.500).

---

[7]
Entry from the Alexandria database: a relaxed HoTmTeO2 crystal (PBE-GGA).

The uncorrected formation energy comes out at -14.98 eV per formula unit. Its density of states at the Fermi level is 0.0 states/eV per cell. The theoretical density comes out at 8.2 Mg/m³. For the magnetic moment, the calculation gives 0.000 μB per atom.

The space group is P2_1/m (No. 11) and the conventional cell measures 6.736, 4.041 and 7.661 Å, with angles of 90.00, 106.54 and 90.00 degrees. Symmetry generates all atoms from Ho at (0.168, 0.250, 0.422), Tm at (0.160, 0.250, 0.911), Te at (0.453, 0.750, 0.742), O at (0.008, 0.750, 0.880) and O at (0.020, 0.750, 0.377).

---

[8]
Entry from the Alexandria database: a relaxed Y2Pd7Pt2 crystal (PBE-GGA).

Its density of states at the Fermi level is 22.5 states/eV per cell. The theoretical density comes out at 10.8 Mg/m³. The value obtained for the energy of formation from the pure elements is -427 meV/atom. For the magnetic moment, the calculation gives 0.000 μB per atom.

The space group is C2/m (No. 12) and the conventional cell measures 9.220, 5.615 and 8.744 Å, with angles of 90.00, 116.65 and 90.00 degrees. Symmetry generates all atoms from Y at (0.128, 0.000, 0.359), Pd at (0.000, 0.500, 0.500), Pd at (0.139, 0.500, 0.292), Pd at (0.169, 0.258, 0.813) and Pt at (0.000, 0.240, 0.000).

---

[9]
Entry from the Alexandria database: a relaxed KInFe2Bi crystal (PBE-GGA).

Its density of states at the Fermi level is 8.0 states/eV per cell. The theoretical density comes out at 4.8 Mg/m³. The value obtained for the energy of formation from the pure elements is 1049 meV/atom. For the magnetic moment, the calculation gives 1.019 μB per atom.

The space group is P4/mmm (No. 123) and the conventional cell measures 5.096, 5.096 and 6.344 Å, with angles of 90.00, 90.00 and 90.00 degrees. Symmetry generates all atoms from K at (0.000, 0.000, 0.000), In at (0.500, 0.500, 0.000), Fe at (0.000, 0.500, 0.500) and Bi at (0.000, 0.000, 0.500).

---

[10]
Entry from the Alexandria database: a relaxed CaSc3Co crystal (PBE-GGA).

Its density of states at the Fermi level is 7.4 states/eV per cell. The polymorph energy (0 for the lowest one) comes out at 1726 meV/atom. The theoretical density comes out at 3.4 Mg/m³. The value obtained for the energy of formation from the pure elements is 1657 meV/atom. For the magnetic moment, the calculation gives 0.165 μB per atom.

The space group is Pm-3m (No. 221) and the conventional cell measures 4.855, 4.855 and 4.855 Å, with angles of 90.00, 90.00 and 90.00 degrees. Symmetry generates all atoms from Ca at (0.000, 0.000, 0.000), Sc at (0.000, 0.000, 0.500) and Co at (0.500, 0.500, 0.500).

---

[11]
Entry from the Alexandria database: a relaxed SmLuMgAl crystal (PBE-GGA).

Its density of states at the Fermi level is 9.4 states/eV per cell. The theoretical density comes out at 6.3 Mg/m³. The value obtained for the energy of formation from the pure elements is -254 meV/atom. For the magnetic moment, the calculation gives 0.000 μB per atom.

The space group is F-43m (No. 216) and the conventional cell measures 7.350, 7.350 and 7.350 Å, with angles of 90.00, 90.00 and 90.00 degrees. Symmetry generates all atoms from Sm at (0.000, 0.000, 0.000), Lu at (0.000, 0.000, 0.500), Mg at (0.250, 0.250, 0.750) and Al at (0.250, 0.250, 0.250).

---

[12]
Entry from the Alexandria database: a relaxed CaAc2Be2P4 crystal (PBE-GGA).

Its density of states at the Fermi level is 0.7 states/eV per cell. The theoretical density comes out at 5.4 Mg/m³. The value obtained for the energy of formation from the pure elements is -938 meV/atom. For the magnetic moment, the calculation gives 0.000 μB per atom.

The space group is C2/m (No. 12) and the conventional cell measures 15.045, 3.929 and 7.098 Å, with angles of 90.00, 111.31 and 90.00 degrees. Symmetry generates all atoms from Ca at (0.000, 0.000, 0.000), Ac at (0.133, 0.000, 0.569), Be at (0.176, 0.500, 0.988), P at (0.032, 0.500, 0.746) and P at (0.210, 0.000, 0.175).

---

[13]
Entry from the Alexandria database: a relaxed AuBr2O2 crystal (PBE-GGA).

The uncorrected formation energy comes out at 4.18 eV per formula unit. Its density of states at the Fermi level is 13.0 states/eV per cell. The theoretical density comes out at 6.9 Mg/m³. For the magnetic moment, the calculation gives 0.000 μB per atom.

The space group is I4_1/amd (No. 141, origin choice 2) and the conventional cell measures 3.350, 3.350 and 33.221 Å, with angles of 90.00, 90.00 and 90.00 degrees. Symmetry generates all atoms from Au at (0.000, 0.250, 0.375), Br at (0.000, 0.250, 0.195) and O at (0.000, 0.250, 0.059).

---

[14]
Entry from the Alexandria database: a relaxed Y2Ho2ErTm crystal (PBE-GGA).

Its density of states at the Fermi level is 22.7 states/eV per cell. The theoretical density comes out at 7.5 Mg/m³. The value obtained for the energy of formation from the pure elements is 71 meV/atom. For the magnetic moment, the calculation gives 0.000 μB per atom.

The space group is Pmma (No. 51) and the conventional cell measures 6.979, 5.581 and 9.602 Å, with angles of 90.00, 90.00 and 90.00 degrees. Symmetry generates all atoms from Y at (0.000, 0.000, 0.000), Y at (0.250, 0.500, 0.158), Ho at (0.250, 0.000, 0.345), Ho at (0.250, 0.500, 0.820), Er at (0.250, 0.000, 0.675) and Tm at (0.000, 0.500, 0.500).

---

[15]
Entry from the Alexandria database: a relaxed BeSnAu3 crystal (PBE-GGA).

Its density of states at the Fermi level is 2.4 states/eV per cell. The polymorph energy (0 for the lowest one) comes out at 46 meV/atom. The theoretical density comes out at 11.8 Mg/m³. The value obtained for the energy of formation from the pure elements is -21 meV/atom. For the magnetic moment, the calculation gives 0.000 μB per atom.

The space group is P-1 (No. 2) and the conventional cell measures 3.853, 4.687 and 11.272 Å, with angles of 89.61, 83.91 and 87.54 degrees. Symmetry generates all atoms from Be at (0.102, 0.251, 0.379), Sn at (0.265, 0.267, 0.942), Au at (0.059, 0.759, 0.421), Au at (0.178, 0.042, 0.184) and Au at (0.381, 0.567, 0.715).